# 1
Below is a geometry-optimized Pm3Ho8In4 structure, with properties calculated at the PBE level.

Values from the calculation:
As for the density of states at the Fermi level: 19.15 states/eV/f.u. The value obtained for the formation energy is 0.07 eV/atom.

a = 9.0582 Å, b = 9.0582 Å, c = 6.6136 Å
α = 110.75°, β = 110.75°, γ = 89.26°
Last column: nearest neighbours and their distance in Å.
Element x y z (fractional)
Pm (0.0000, 0.0000, 0.0000)  2 In 3.31, 6 Ho 3.34-3.50
Pm (0.0000, 0.5000, 0.5000)  6 Ho 3.19-3.52, 2 In 3.31
Pm (0.5000, 0.0000, 0.5000)  6 Ho 3.19-3.52, 2 In 3.31
Ho (0.2621, 0.2621, 0.0121)  4 In 3.11-3.39, 2 Ho 3.29-3.33, 1 Pm 3.34
Ho (0.2635, 0.7365, 0.0000)  3 In 3.01-3.23, 3 Pm 3.28-3.35
Ho (0.2727, 0.2727, 0.5256)  1 In 3.05, 2 Pm 3.19, 2 Ho 3.29-3.33
Ho (0.3604, 0.6396, 0.5000)  7 Ho 3.50-3.62, 2 Pm 3.52, 4 In 3.56-3.75
Ho (0.6396, 0.3604, 0.5000)  7 Ho 3.50-3.62, 2 Pm 3.52, 4 In 3.56-3.75
Ho (0.7273, 0.7273, 0.4744)  1 In 3.05, 2 Pm 3.19, 2 Ho 3.29-3.33
Ho (0.7365, 0.2635, 0.0000)  3 In 3.01-3.23, 3 Pm 3.28-3.35
Ho (0.7379, 0.7379, 0.9879)  4 In 3.11-3.39, 2 Ho 3.29-3.33, 1 Pm 3.34
In (0.0000, 0.0000, 0.5000)  2 Pm 3.31, 4 Ho 3.39-3.43
In (0.0000, 0.5000, 0.0000)  6 Ho 3.18-3.56, 2 Pm 3.31
In (0.5000, 0.0000, 0.0000)  6 Ho 3.18-3.56, 2 Pm 3.31
In (0.5000, 0.5000, 0.0000)  6 Ho 3.01-3.11


# 2
Below is a geometry-optimized Pm12HoIn6 structure, with properties calculated at the PBE level.

Values from the calculation:
As for the density of states at the Fermi level: 19.16 states/eV/f.u. The value obtained for the formation energy is -0.24 eV/atom.

a = 8.3320 Å, b = 8.3320 Å, c = 8.3320 Å
α = 89.04°, β = 89.04°, γ = 89.04°
Last column: nearest neighbours and their distance in Å.
Element x y z (fractional)
Pm (0.0736, 0.3829, 0.1231)  3 Pm 3.06-3.36, 1 In 3.32
Pm (0.1231, 0.0736, 0.3829)  3 Pm 3.06-3.36, 1 In 3.32
Pm (0.1918, 0.5647, 0.4728)  4 In 3.32-3.45, 4 Pm 3.41-3.49
Pm (0.3829, 0.1231, 0.0736)  3 Pm 3.06-3.36, 1 In 3.32
Pm (0.4353, 0.5272, 0.8082)  4 In 3.32-3.45, 4 Pm 3.41-3.49
Pm (0.4728, 0.1918, 0.5647)  4 In 3.32-3.45, 4 Pm 3.41-3.49
Pm (0.5272, 0.8082, 0.4353)  4 In 3.32-3.45, 4 Pm 3.41-3.49
Pm (0.5647, 0.4728, 0.1918)  4 In 3.32-3.45, 4 Pm 3.41-3.49
Pm (0.6171, 0.8769, 0.9264)  3 Pm 3.06-3.36, 1 In 3.32
Pm (0.8082, 0.4353, 0.5272)  4 In 3.32-3.45, 4 Pm 3.41-3.49
Pm (0.8769, 0.9264, 0.6171)  3 Pm 3.06-3.36, 1 In 3.32
Pm (0.9264, 0.6171, 0.8769)  3 Pm 3.06-3.36, 1 In 3.32
Ho (0.0000, 0.0000, 0.0000)  6 In 3.25, 6 Pm 3.44
In (0.1222, 0.2722, 0.7440)  1 Ho 3.25, 7 Pm 3.32-3.47, 2 In 3.46
In (0.2560, 0.8778, 0.7278)  1 Ho 3.25, 7 Pm 3.32-3.47, 2 In 3.46
In (0.2722, 0.7440, 0.1222)  1 Ho 3.25, 7 Pm 3.32-3.47, 2 In 3.46
In (0.7278, 0.2560, 0.8778)  1 Ho 3.25, 7 Pm 3.32-3.47, 2 In 3.46
In (0.7440, 0.1222, 0.2722)  1 Ho 3.25, 7 Pm 3.32-3.47, 2 In 3.46
In (0.8778, 0.7278, 0.2560)  1 Ho 3.25, 7 Pm 3.32-3.47, 2 In 3.46


# 3
Below is a geometry-optimized Pm8Ho5In structure, with properties calculated at the PBE level.

Values from the calculation:
As for the density of states at the Fermi level: 21.10 states/eV/f.u. The value obtained for the formation energy is 0.10 eV/atom.

a = 8.8020 Å, b = 8.8020 Å, c = 8.4619 Å
α = 117.40°, β = 117.40°, γ = 56.99°
Last column: nearest neighbours and their distance in Å.
Element x y z (fractional)
Pm (0.0419, 0.5890, 0.4274)  4 Pm 3.28-3.50, 5 Ho 3.29-3.58
Pm (0.1233, 0.1233, 0.1804)  1 In 3.33, 4 Pm 3.42-3.50
Pm (0.2291, 0.4184, 0.7795)  1 In 3.18, 4 Pm 3.28-3.48, 2 Ho 3.35-3.36
Pm (0.4110, 0.9581, 0.5726)  4 Pm 3.28-3.50, 5 Ho 3.29-3.58
Pm (0.5225, 0.1144, 0.0840)  1 In 3.26, 2 Pm 3.42-3.63, 1 Ho 3.49
Pm (0.5816, 0.7709, 0.2205)  1 In 3.18, 4 Pm 3.28-3.48, 2 Ho 3.35-3.36
Pm (0.8767, 0.8767, 0.8196)  1 In 3.33, 4 Pm 3.42-3.50
Pm (0.8856, 0.4775, 0.9160)  1 In 3.26, 2 Pm 3.42-3.63, 1 Ho 3.49
Ho (0.2518, 0.6537, 0.2278)  4 Pm 3.29-3.60, 2 Ho 3.45-3.51
Ho (0.3463, 0.7482, 0.7722)  4 Pm 3.29-3.60, 2 Ho 3.45-3.51
Ho (0.5297, 0.2722, 0.5473)  3 Ho 3.28-3.55, 1 In 3.31, 4 Pm 3.36-3.58
Ho (0.7278, 0.4703, 0.4527)  3 Ho 3.28-3.55, 1 In 3.31, 4 Pm 3.36-3.58
Ho (0.9567, 0.0433, 0.5000)  4 Ho 3.28-3.51, 2 Pm 3.44
In (0.6595, 0.3405, 0.0000)  6 Pm 3.18-3.33, 2 Ho 3.31


# 4
Below is a geometry-optimized PmHo3In2 structure, with properties calculated at the PBE level.

Values from the calculation:
The distance to the lowest polymorph of the same formula comes out at 0.0 meV/atom. As for the density of states at the Fermi level: 6.09 states/eV/f.u. The value obtained for the formation energy is -0.30 eV/atom.

a = 9.8788 Å, b = 4.4619 Å, c = 15.3566 Å
α = 90.00°, β = 90.00°, γ = 90.00°
Last column: nearest neighbours and their distance in Å.
Element x y z (fractional)
Pm (0.0028, 0.2500, 0.0921)  5 In 3.33-3.68, 5 Ho 3.37-3.55, 2 Pm 3.60
Pm (0.4972, 0.7500, 0.5921)  5 In 3.33-3.68, 5 Ho 3.37-3.55, 2 Pm 3.60
Pm (0.5028, 0.2500, 0.4079)  5 In 3.33-3.68, 5 Ho 3.37-3.55, 2 Pm 3.60
Pm (0.9972, 0.7500, 0.9079)  5 In 3.33-3.68, 5 Ho 3.37-3.55, 2 Pm 3.60
Ho (0.0030, 0.7500, 0.5909)  5 In 3.27-3.59, 7 Ho 3.35-3.57
Ho (0.2470, 0.2500, 0.2457)  6 In 3.33-3.38, 2 Pm 3.37-3.55, 4 Ho 3.43-3.64
Ho (0.2476, 0.7500, 0.4329)  2 In 3.18, 3 Ho 3.35-3.42, 3 Pm 3.39-3.47
Ho (0.2524, 0.2500, 0.9329)  2 In 3.18, 3 Ho 3.35-3.42, 3 Pm 3.39-3.47
Ho (0.2530, 0.7500, 0.7457)  6 In 3.33-3.38, 2 Pm 3.37-3.55, 4 Ho 3.43-3.64
Ho (0.4970, 0.2500, 0.0909)  5 In 3.27-3.59, 7 Ho 3.35-3.57
Ho (0.5030, 0.7500, 0.9091)  5 In 3.27-3.59, 7 Ho 3.35-3.57
Ho (0.7470, 0.2500, 0.2543)  6 In 3.33-3.38, 2 Pm 3.37-3.55, 4 Ho 3.43-3.64
Ho (0.7476, 0.7500, 0.0671)  2 In 3.18, 3 Ho 3.35-3.42, 3 Pm 3.39-3.47
Ho (0.7524, 0.2500, 0.5671)  2 In 3.18, 3 Ho 3.35-3.42, 3 Pm 3.39-3.47
Ho (0.7530, 0.7500, 0.7543)  6 In 3.33-3.38, 2 Pm 3.37-3.55, 4 Ho 3.43-3.64
Ho (0.9970, 0.2500, 0.4091)  5 In 3.27-3.59, 7 Ho 3.35-3.57
In (0.0029, 0.2500, 0.7469)  6 Ho 3.27-3.33, 2 Pm 3.33, 1 In 3.50
In (0.2439, 0.2500, 0.5802)  6 Ho 3.18-3.38, 2 Pm 3.36, 1 In 3.50
In (0.2561, 0.7500, 0.0802)  6 Ho 3.18-3.38, 2 Pm 3.36, 1 In 3.50
In (0.4971, 0.7500, 0.2469)  6 Ho 3.27-3.33, 2 Pm 3.33, 1 In 3.50
In (0.5029, 0.2500, 0.7531)  6 Ho 3.27-3.33, 2 Pm 3.33, 1 In 3.50
In (0.7439, 0.2500, 0.9198)  6 Ho 3.18-3.38, 2 Pm 3.36, 1 In 3.50
In (0.7561, 0.7500, 0.4198)  6 Ho 3.18-3.38, 2 Pm 3.36, 1 In 3.50
In (0.9971, 0.7500, 0.2531)  6 Ho 3.27-3.33, 2 Pm 3.33, 1 In 3.50


# 5
Below is a geometry-optimized Pm5Ho2In4 structure, with properties calculated at the PBE level.

Values from the calculation:
The distance to the lowest polymorph of the same formula comes out at 602.3 meV/atom. As for the density of states at the Fermi level: 15.25 states/eV/f.u. The value obtained for the formation energy is 0.32 eV/atom.

a = 15.2122 Å, b = 15.2122 Å, c = 15.2122 Å
α = 166.88°, β = 146.49°, γ = 36.13°
Last column: nearest neighbours and their distance in Å.
Element x y z (fractional)
Pm (0.0000, 0.0000, 0.0000)  4 Ho 3.28, 4 In 3.34, 2 Pm 3.47
Pm (0.0015, 0.7000, 0.3015)  3 In 3.16-3.42, 1 Ho 3.47, 5 Pm 3.47-3.49
Pm (0.3985, 0.7000, 0.6985)  3 In 3.16-3.42, 1 Ho 3.47, 5 Pm 3.47-3.49
Pm (0.6015, 0.3000, 0.3015)  3 In 3.16-3.42, 1 Ho 3.47, 5 Pm 3.47-3.49
Pm (0.9985, 0.3000, 0.6985)  3 In 3.16-3.42, 1 Ho 3.47, 5 Pm 3.47-3.49
Ho (0.0961, 0.5961, 0.5000)  4 Pm 3.28-3.47, 2 Ho 3.47
Ho (0.9039, 0.4039, 0.5000)  4 Pm 3.28-3.47, 2 Ho 3.47
In (0.3018, 0.8018, 0.5000)  6 Pm 3.16-3.42, 2 In 3.47
In (0.3247, 0.5000, 0.8247)  1 In 3.08, 2 Pm 3.34
In (0.6753, 0.5000, 0.1753)  1 In 3.08, 2 Pm 3.34
In (0.6982, 0.1982, 0.5000)  6 Pm 3.16-3.42, 2 In 3.47


# 6
Below is a geometry-optimized PmHo3In4 structure, with properties calculated at the PBE level.

Values from the calculation:
The distance to the lowest polymorph of the same formula comes out at 156.6 meV/atom. As for the density of states at the Fermi level: 6.50 states/eV/f.u. The value obtained for the formation energy is -0.30 eV/atom.

a = 10.1911 Å, b = 10.1911 Å, c = 10.1911 Å
α = 160.61°, β = 139.01°, γ = 45.73°
Last column: nearest neighbours and their distance in Å.
Element x y z (fractional)
Pm (0.0000, 0.0000, 0.0000)  4 In 3.17, 2 Pm 3.43
Ho (0.2201, 0.7201, 0.5000)  6 In 3.19-3.22, 2 Ho 3.43
Ho (0.5000, 0.5000, 0.0000)  8 In 3.31, 2 Ho 3.43
Ho (0.7799, 0.2799, 0.5000)  6 In 3.19-3.22, 2 Ho 3.43
In (0.1616, 0.8719, 0.2897)  1 In 3.00, 1 Pm 3.17, 5 Ho 3.19-3.31
In (0.4178, 0.1281, 0.2897)  1 In 3.00, 1 Pm 3.17, 5 Ho 3.19-3.31
In (0.5822, 0.8719, 0.7103)  1 In 3.00, 1 Pm 3.17, 5 Ho 3.19-3.31
In (0.8384, 0.1281, 0.7103)  1 In 3.00, 1 Pm 3.17, 5 Ho 3.19-3.31